# CrBAuC

A relaxed CrBAuC crystal (PBE, Alexandria).

Results
The calculation puts the uncorrected energy at -28.04 eV per cell. The value obtained for the energy of formation from the pure elements is 190.8 meV/atom. The symmetry is No. 156. The value obtained for the total magnetization is 0.0 μB/f.u.

The structure in POSCAR format:
```
CrBAuC
1.0
2.7771 0.0000 0.0000
-1.3886 2.4051 0.0000
0.0000 0.0000 6.5065
Cr C B Au
1 1 1 1
Cartesian
1.3886 0.8017 3.6230
0.0000 0.0000 5.0863
0.0000 1.6034 5.1682
0.0000 0.0000 1.3405
```

# CrBAuC

A relaxed CrBAuC crystal (PBE, Alexandria).

Results
The calculation puts the uncorrected energy at -55.51 eV per cell. The value obtained for the energy of formation from the pure elements is 261.3 meV/atom. The symmetry is No. 44. The value obtained for the total magnetization is 1.0 μB/f.u.

The structure in POSCAR format:
```
CrBAuC
1.0
2.7660 0.0000 0.0000
0.0000 2.6884 0.0000
0.0000 0.0000 11.5098
Cr C B Au
2 2 2 2
Cartesian
0.0000 1.3442 1.8411
1.3830 0.0000 7.5960
0.0000 1.3442 8.4617
1.3830 0.0000 2.7068
0.0000 0.0000 9.2989
1.3830 1.3442 3.5440
0.0000 1.3442 5.4393
1.3830 0.0000 11.1942
```

# CrBAuC

A relaxed CrBAuC crystal (PBE, Alexandria).

Results
The calculation puts the uncorrected energy at -54.88 eV per cell. The value obtained for the energy of formation from the pure elements is 340.7 meV/atom. The symmetry is No. 8. The value obtained for the total magnetization is 0.0 μB/f.u.

The structure in POSCAR format:
```
CrBAuC
1.0
3.6209 0.0000 -0.0168
0.0000 2.7976 0.0000
-3.2656 0.0000 9.6699
Cr C B Au
2 2 2 2
Cartesian
0.1948 0.0000 9.2152
1.8276 1.3988 4.3802
1.6632 0.0000 0.1486
0.0304 1.3988 4.9836
-0.0525 0.0000 4.2588
-1.6853 1.3988 9.0938
2.5695 0.0000 2.1781
0.9367 1.3988 7.0131
```